(A)
Compound: RbNaAg2
Source: Alexandria via LeMat-Bulk
Functional: PBE
Structure: optimized geometry

a b c (Å): 5.6666 5.6666 5.6666
angles (deg): 60.00 60.00 60.00
Last column: nearest neighbours and their distance in Å.
Atoms (fractional coordinates):
1 Na 0.0000 0.0000 0.0000  8 Ag 3.47
2 Rb 0.5000 0.5000 0.5000  8 Ag 3.47
3 Ag 0.2500 0.2500 0.2500  4 Rb 3.47, 4 Na 3.47
4 Ag 0.7500 0.7500 0.7500  4 Rb 3.47, 4 Na 3.47

Values from the calculation:
The calculated volume comes out at 129 Å³ per cell. The space group is Fm-3m (225).


(B)
Compound: RbNaAg2
Source: Alexandria via LeMat-Bulk
Functional: PBE
Structure: optimized geometry

a b c (Å): 3.9075 3.9075 8.0533
angles (deg): 90.00 90.00 90.00
Last column: nearest neighbours and their distance in Å.
Atoms (fractional coordinates):
1 Na 0.5000 0.5000 0.0000  8 Ag 3.13
2 Rb 0.5000 0.5000 0.5000  8 Ag 3.77, 4 Rb 3.91, 2 Na 4.03
3 Ag 0.0000 0.0000 0.8177  1 Ag 2.94, 4 Na 3.13
4 Ag 0.0000 0.0000 0.1823  1 Ag 2.94, 4 Na 3.13

Values from the calculation:
The calculated volume comes out at 123 Å³ per cell. The space group is P4/mmm (123).


Most stable structure, least stable structure: (B), (A).


(A)
Compound: RbNaAg2
Source: Alexandria via LeMat-Bulk
Functional: PBE
Structure: optimized geometry

a b c (Å): 3.6826 5.8106 5.8106
angles (deg): 90.00 90.00 90.00
Last column: nearest neighbours and their distance in Å.
Atoms (fractional coordinates):
1 Na 0.5000 0.0000 0.0000  8 Ag 3.44, 2 Na 3.68
2 Rb 0.5000 0.5000 0.5000  8 Ag 3.44, 2 Rb 3.68
3 Ag 0.0000 0.0000 0.5000  4 Rb 3.44, 4 Na 3.44, 2 Ag 3.68
4 Ag 0.0000 0.5000 0.0000  4 Rb 3.44, 4 Na 3.44, 2 Ag 3.68

Values from the calculation:
The calculated volume comes out at 124 Å³ per cell. The space group is P4/mmm (123).


(B)
Compound: RbNaAg2
Source: Alexandria via LeMat-Bulk
Functional: PBE
Structure: optimized geometry

a b c (Å): 7.7365 8.3126 8.4661
angles (deg): 90.00 90.00 90.00
Last column: nearest neighbours and their distance in Å.
Atoms (fractional coordinates):
1 Rb 0.7500 0.0087 0.3335  8 Ag 3.68-3.92, 1 Na 4.06
2 Rb 0.7500 0.5087 0.1665  8 Ag 3.68-3.92, 1 Na 4.06
3 Rb 0.2500 0.9913 0.6665  8 Ag 3.68-3.92, 1 Na 4.06
4 Rb 0.2500 0.4913 0.8335  8 Ag 3.68-3.92, 1 Na 4.06
5 Na 0.7500 0.8425 0.8156  6 Ag 3.13-3.15
6 Na 0.7500 0.3425 0.6844  6 Ag 3.13-3.15
7 Na 0.2500 0.1575 0.1844  6 Ag 3.13-3.15
8 Na 0.2500 0.6575 0.3156  6 Ag 3.13-3.15
9 Ag 0.9296 0.6484 0.5450  2 Ag 2.78-2.80
10 Ag 0.5704 0.1484 0.9550  2 Ag 2.78-2.80
11 Ag 0.4296 0.3516 0.4550  2 Ag 2.78-2.80
12 Ag 0.0704 0.8516 0.0450  2 Ag 2.78-2.80
13 Ag 0.0704 0.3516 0.4550  2 Ag 2.78-2.80
14 Ag 0.4296 0.8516 0.0450  2 Ag 2.78-2.80
15 Ag 0.5704 0.6484 0.5450  2 Ag 2.78-2.80
16 Ag 0.9296 0.1484 0.9550  2 Ag 2.78-2.80

Values from the calculation:
The calculated volume comes out at 544 Å³ per cell. The space group is Pnma (62).


(C)
Compound: RbNaAg2
Source: Alexandria via LeMat-Bulk
Functional: PBE
Structure: optimized geometry

a b c (Å): 5.0988 5.0988 6.9038
angles (deg): 68.33 68.33 60.00
Last column: nearest neighbours and their distance in Å.
Atoms (fractional coordinates):
1 Na 0.0000 0.0000 0.0000  6 Ag 2.96
2 Rb 0.5000 0.5000 0.5000  2 Ag 3.46
3 Ag 0.3154 0.3154 0.0537  3 Na 2.96, 3 Ag 3.02
4 Ag 0.6846 0.6846 0.9463  3 Na 2.96, 3 Ag 3.02

Values from the calculation:
The calculated volume comes out at 141 Å³ per cell. The space group is R-3m (166).


Most stable structure, least stable structure: (C), (A).


(A)
Compound: Rb2NaAg2
Source: Alexandria via LeMat-Bulk
Functional: PBE
Structure: optimized geometry

a b c (Å): 5.5308 5.5308 8.3388
angles (deg): 70.63 70.63 90.00
Last column: nearest neighbours and their distance in Å.
Atoms (fractional coordinates):
1 Na 0.0000 0.0000 0.0000  8 Ag 4.15, 8 Rb 4.61
2 Rb 0.7500 0.2500 0.5000  4 Ag 3.60, 4 Rb 3.91
3 Rb 0.2500 0.7500 0.5000  4 Ag 3.60, 4 Rb 3.91
4 Ag 0.4062 0.4062 0.1876  1 Ag 2.76
5 Ag 0.5938 0.5938 0.8124  1 Ag 2.76

Values from the calculation:
The calculated volume comes out at 225 Å³ per cell. The space group is I4/mmm (139).


(B)
Compound: Rb2NaAg2
Source: Alexandria via LeMat-Bulk
Functional: PBE
Structure: optimized geometry

a b c (Å): 10.1806 10.1806 3.9402
angles (deg): 90.00 90.00 90.00
Last column: nearest neighbours and their distance in Å.
Atoms (fractional coordinates):
1 Na 0.0000 0.0000 0.0000  2 Na 3.94, 4 Rb 3.94, 8 Ag 4.30
2 Na 0.5000 0.5000 0.0000  2 Na 3.94, 4 Rb 3.94, 8 Ag 4.30
3 Rb 0.3618 0.8618 0.0000  6 Ag 3.50-3.64
4 Rb 0.8618 0.6382 0.0000  6 Ag 3.50-3.64
5 Rb 0.6382 0.1382 0.0000  6 Ag 3.50-3.64
6 Rb 0.1382 0.3618 0.0000  6 Ag 3.50-3.64
7 Ag 0.1610 0.6610 0.5000  6 Rb 3.50-3.64
8 Ag 0.6610 0.8390 0.5000  6 Rb 3.50-3.64
9 Ag 0.8390 0.3390 0.5000  6 Rb 3.50-3.64
10 Ag 0.3390 0.1610 0.5000  6 Rb 3.50-3.64

Values from the calculation:
The calculated volume comes out at 408 Å³ per cell. The space group is P4/mbm (127).


Most stable structure, least stable structure: (B), (A).


(A)
Compound: RbNa2AgSn
Source: Alexandria via LeMat-Bulk
Functional: PBE
Structure: optimized geometry

a b c (Å): 5.9880 5.9880 5.3823
angles (deg): 90.00 90.00 90.00
Last column: nearest neighbours and their distance in Å.
Atoms (fractional coordinates):
1 Na 0.0000 0.5000 0.0000  2 Sn 2.99
2 Na 0.5000 0.0000 0.0000  2 Sn 2.99
3 Rb 0.5000 0.5000 0.5000  8 Na 4.03, 4 Ag 4.23
4 Sn 0.0000 0.0000 0.0000  2 Ag 2.69, 4 Na 2.99
5 Ag 0.0000 0.0000 0.5000  2 Sn 2.69

Values from the calculation:
The calculated volume comes out at 193 Å³ per cell. The space group is P4/mmm (123).


(B)
Compound: RbNa2AgSn
Source: Alexandria via LeMat-Bulk
Functional: PBE
Structure: optimized geometry

a b c (Å): 5.8384 5.8384 5.2778
angles (deg): 90.00 90.00 90.00
Last column: nearest neighbours and their distance in Å.
Atoms (fractional coordinates):
1 Na 0.0000 0.5000 0.0000  2 Ag 2.92
2 Na 0.5000 0.0000 0.0000  2 Ag 2.92
3 Rb 0.5000 0.5000 0.5000  8 Na 3.94, 4 Sn 4.13
4 Sn 0.0000 0.0000 0.5000  2 Ag 2.64
5 Ag 0.0000 0.0000 0.0000  2 Sn 2.64, 4 Na 2.92

Values from the calculation:
The calculated volume comes out at 180 Å³ per cell. The space group is P4/mmm (123).


Most stable structure, least stable structure: (A), (B).


(A)
Compound: RbNa2ZnAg
Source: Alexandria via LeMat-Bulk
Functional: PBE
Structure: optimized geometry

a b c (Å): 5.7168 5.7168 5.2432
angles (deg): 90.00 90.00 90.00
Last column: nearest neighbours and their distance in Å.
Atoms (fractional coordinates):
1 Na 0.0000 0.5000 0.0000  2 Zn 2.86
2 Na 0.5000 0.0000 0.0000  2 Zn 2.86
3 Zn 0.0000 0.0000 0.0000  2 Ag 2.62, 4 Na 2.86
4 Rb 0.5000 0.5000 0.5000  8 Na 3.88, 4 Ag 4.04
5 Ag 0.0000 0.0000 0.5000  2 Zn 2.62

Values from the calculation:
The calculated volume comes out at 171 Å³ per cell. The space group is P4/mmm (123).


(B)
Compound: RbNa2ZnAg
Source: Alexandria via LeMat-Bulk
Functional: PBE
Structure: optimized geometry

a b c (Å): 5.7799 5.7799 5.2190
angles (deg): 90.00 90.00 90.00
Last column: nearest neighbours and their distance in Å.
Atoms (fractional coordinates):
1 Na 0.0000 0.5000 0.0000  2 Ag 2.89
2 Na 0.5000 0.0000 0.0000  2 Ag 2.89
3 Zn 0.0000 0.0000 0.5000  2 Ag 2.61
4 Rb 0.5000 0.5000 0.5000  8 Na 3.89, 4 Zn 4.09
5 Ag 0.0000 0.0000 0.0000  2 Zn 2.61, 4 Na 2.89

Values from the calculation:
The calculated volume comes out at 174 Å³ per cell. The space group is P4/mmm (123).


Most stable structure, least stable structure: (B), (A).


(A)
Compound: NaAg2Rh2
Source: Alexandria via LeMat-Bulk
Functional: PBE
Structure: optimized geometry

a b c (Å): 8.2092 8.2092 2.7115
angles (deg): 90.00 90.00 90.00
Last column: nearest neighbours and their distance in Å.
Atoms (fractional coordinates):
1 Na 0.0000 0.0000 0.0000  2 Na 2.71, 4 Ag 3.01
2 Na 0.5000 0.5000 0.0000  2 Na 2.71, 4 Ag 3.01
3 Rh 0.1133 0.6133 0.5000  3 Rh 2.63-2.71, 6 Ag 2.74-2.83
4 Rh 0.6133 0.8867 0.5000  3 Rh 2.63-2.71, 6 Ag 2.74-2.83
5 Rh 0.8867 0.3867 0.5000  3 Rh 2.63-2.71, 6 Ag 2.74-2.83
6 Rh 0.3867 0.1133 0.5000  3 Rh 2.63-2.71, 6 Ag 2.74-2.83
7 Ag 0.3186 0.8186 0.0000  2 Ag 2.71, 6 Rh 2.74-2.83, 2 Na 3.01
8 Ag 0.8186 0.6814 0.0000  2 Ag 2.71, 6 Rh 2.74-2.83, 2 Na 3.01
9 Ag 0.6814 0.1814 0.0000  2 Ag 2.71, 6 Rh 2.74-2.83, 2 Na 3.01
10 Ag 0.1814 0.3186 0.0000  2 Ag 2.71, 6 Rh 2.74-2.83, 2 Na 3.01

Values from the calculation:
The calculated volume comes out at 183 Å³ per cell. The space group is P4/mbm (127).


(B)
Compound: NaAg2Rh2
Source: Alexandria via LeMat-Bulk
Functional: PBE
Structure: optimized geometry

a b c (Å): 8.1667 8.1667 2.7304
angles (deg): 90.00 90.00 90.00
Last column: nearest neighbours and their distance in Å.
Atoms (fractional coordinates):
1 Na 0.0000 0.0000 0.0000  2 Na 2.73
2 Na 0.5000 0.5000 0.0000  2 Na 2.73
3 Rh 0.3875 0.8875 0.0000  3 Rh 2.60-2.73, 6 Ag 2.73-2.83
4 Rh 0.8875 0.6125 0.0000  3 Rh 2.60-2.73, 6 Ag 2.73-2.83
5 Rh 0.6125 0.1125 0.0000  3 Rh 2.60-2.73, 6 Ag 2.73-2.83
6 Rh 0.1125 0.3875 0.0000  3 Rh 2.60-2.73, 6 Ag 2.73-2.83
7 Ag 0.1827 0.6827 0.5000  2 Ag 2.73, 6 Rh 2.73-2.83
8 Ag 0.6827 0.8173 0.5000  2 Ag 2.73, 6 Rh 2.73-2.83
9 Ag 0.8173 0.3173 0.5000  2 Ag 2.73, 6 Rh 2.73-2.83
10 Ag 0.3173 0.1827 0.5000  2 Ag 2.73, 6 Rh 2.73-2.83

Values from the calculation:
The calculated volume comes out at 182 Å³ per cell. The space group is P4/mbm (127).


Most stable structure, least stable structure: (B), (A).